[1]
NaDyHo (PBE-GGA, optimized geometry); relative energy among the computed polymorphs = 0 meV/atom; total energy = -8.0 eV for the cell shown; total moment = 1.24 μB per cell
1.0
0.000 3.744 3.744
3.744 0.000 3.744
3.744 3.744 0.000
Dy Ho Na
1 1 1
direct
0.250 0.250 0.250 Dy
0.750 0.750 0.750 Ho
0.000 0.000 0.000 Na

[2]
TmTe (PBE-GGA, optimized geometry); total energy = -9.9 eV for the cell shown; total moment = 0.00 μB per cell
1.0
0.000 3.039 3.039
3.039 0.000 3.039
3.039 3.039 0.000
Te Tm
1 1
direct
0.000 0.000 0.000 Te
0.500 0.500 0.500 Tm

[3]
LaPrEr (PBE-GGA, optimized geometry); relative energy among the computed polymorphs = 0 meV/atom; total energy = -12.3 eV for the cell shown; formation enthalpy at 0 K = 0.651 eV per atom; total moment = 0.00 μB per cell
1.0
1.950 0.865 5.128
-3.525 0.516 4.261
-0.350 -4.019 3.818
Er La Pr
1 1 1
direct
0.000 0.000 0.000 Er
0.250 0.250 0.250 La
0.750 0.750 0.750 Pr